# 1
Material: PmMgTlGa
Method: DFT, GGA-PBE
State: optimized geometry

Properties
As for the symmetry: F-43m, No. 216. Its energy above the lowest structure with this stoichiometry is 0.069 eV/atom. Its calculated volume is 24.48 Å³/atom. Its energy of formation from the pure elements is -0.289 eV/atom.

Structure (extended XYZ):
```
16
Lattice="7.316 0.000 0.000 0.000 7.316 0.000 0.000 0.000 7.316" Properties=species:S:1:pos:R:3 pbc="T T T"
Pm 0.000 0.000 0.000
Pm 0.000 3.658 3.658
Pm 3.658 0.000 3.658
Pm 3.658 3.658 0.000
Mg 0.000 0.000 3.658
Mg 0.000 3.658 0.000
Mg 3.658 0.000 0.000
Mg 3.658 3.658 3.658
Tl 1.829 1.829 5.487
Tl 1.829 5.487 1.829
Tl 5.487 1.829 1.829
Tl 5.487 5.487 5.487
Ga 1.829 1.829 1.829
Ga 1.829 5.487 5.487
Ga 5.487 1.829 5.487
Ga 5.487 5.487 1.829
```


# 2
Material: CaTbEr
Method: DFT, GGA-PBE
State: optimized geometry

Properties
As for the symmetry: P3m1, No. 156. Its energy above the lowest structure with this stoichiometry is 0.012 eV/atom. Its calculated volume is 33.99 Å³/atom. Its energy of formation from the pure elements is 0.079 eV/atom.

Structure (extended XYZ):
```
3
Lattice="3.602 0.000 0.000 -1.801 3.119 0.000 0.000 0.000 9.076" Properties=species:S:1:pos:R:3 pbc="T T T"
Ca 0.000 0.000 0.000
Tb 1.801 1.040 3.192
Er 0.000 2.080 5.939
```


# 3
Material: CeEuIr2
Method: DFT, GGA-PBE
State: optimized geometry

Properties
As for the symmetry: P4/mmm, No. 123. Its energy above the lowest structure with this stoichiometry is 0.000 eV/atom. Its calculated volume is 21.69 Å³/atom. Its energy of formation from the pure elements is -0.540 eV/atom.

Structure (extended XYZ):
```
4
Lattice="3.566 0.000 0.000 0.000 3.566 0.000 0.000 0.000 6.823" Properties=species:S:1:pos:R:3 pbc="T T T"
Ce 0.000 0.000 0.000
Eu 0.000 0.000 3.412
Ir 1.783 1.783 1.495
Ir 1.783 1.783 5.329
```